Below is Nb4IrRu after structural relaxation, with properties calculated at the GGA-PBE level.

## Properties
**Crystal system**: monoclinic
**DFT formation energy**: 83 kJ/mol of formula units
**E_tot**: -9.593 eV/atom
**Theoretical density**: 9.31 g/cm³

Cell lengths 6.208, 6.208, 6.154 Å; angles 90.00, 90.15, 90.00 degrees
Space group C2/m (No. 12)
One atom of each set of equivalent atoms:
Nb (0.250, 0.250, 0.247) x8
Ir (0.000, 0.000, 0.500) x2
Ru (0.000, 0.500, 0.000) x2